No. 1
DFT (PBE-GGA) results for a relaxed structure of Tl6I5Br2.

Lattice parameters (Å, degrees): 4.952 13.674 16.204 90.00 90.00 90.00
Positions (direct):
Tl: 0.000 0.175 0.379
Tl: 0.000 0.825 0.621
Tl: 0.000 0.675 0.121
Tl: 0.000 0.325 0.879
Tl: 0.500 0.319 0.132
Tl: 0.500 0.681 0.868
Tl: 0.500 0.819 0.368
Tl: 0.500 0.181 0.632
Tl: 0.000 0.510 0.387
Tl: 0.000 0.490 0.613
Tl: 0.000 0.010 0.113
Tl: 0.000 0.990 0.887
I: 0.500 0.336 0.467
I: 0.500 0.664 0.533
I: 0.500 0.836 0.033
I: 0.500 0.164 0.967
I: 0.500 0.608 0.265
I: 0.500 0.392 0.735
I: 0.500 0.108 0.235
I: 0.500 0.892 0.765
I: 0.500 0.500 0.000
I: 0.500 0.000 0.500
Br: 0.000 0.359 0.238
Br: 0.000 0.641 0.762
Br: 0.000 0.859 0.262
Br: 0.000 0.141 0.738

Output
VASP energy = -66.48 eV for the cell shown
Raw formation energy = -611 meV/atom
ρ = 6.12 g cm⁻³
Total magnetic moment = 0.0 μB per formula unit

No. 2
DFT (PBE-GGA) results for a relaxed structure of GaHg2SN.

Lattice parameters (Å, degrees): 4.923 4.069 4.923 90.00 90.00 90.00
Positions (direct):
S: 0.500 0.500 0.500
Hg: 0.000 0.000 0.500
Hg: 0.500 0.000 0.000
Ga: 0.000 0.500 0.000
N: 0.000 0.000 0.000

Output
VASP energy = -13.06 eV for the cell shown
Raw formation energy = 604 meV/atom
ρ = 8.70 g cm⁻³
Total magnetic moment = 0.0 μB per formula unit

No. 3
DFT (PBE-GGA) results for a relaxed structure of TlTeCl.

Lattice parameters (Å, degrees): 6.071 4.164 8.591 90.00 110.48 90.00
Positions (direct):
Tl: 0.648 0.250 0.794
Tl: 0.352 0.750 0.206
Te: 0.938 0.250 0.377
Te: 0.062 0.750 0.623
Cl: 0.215 0.250 0.929
Cl: 0.785 0.750 0.071

Output
VASP energy = -18.19 eV for the cell shown
Raw formation energy = -580 meV/atom
ρ = 6.00 g cm⁻³
Total magnetic moment = 0.0 μB per formula unit

No. 4
DFT (PBE-GGA) results for a relaxed structure of CePm3Pu3Se8.

Lattice parameters (Å, degrees): 8.321 8.317 8.355 119.82 90.00 120.02
Positions (direct):
Ce: 0.000 0.000 0.500
Pm: 0.000 0.000 0.000
Pm: 0.000 0.500 0.000
Pm: 0.500 0.500 0.000
Pu: 0.500 0.000 0.500
Pu: 0.500 0.500 0.500
Pu: 0.000 0.500 0.500
Se: 0.252 0.504 0.256
Se: 0.748 0.496 0.744
Se: 0.747 0.495 0.250
Se: 0.253 0.505 0.750
Se: 0.748 0.002 0.250
Se: 0.252 0.998 0.750
Se: 0.255 0.002 0.250
Se: 0.745 0.998 0.750

Output
VASP energy = -116.98 eV for the cell shown
Raw formation energy = -1728 meV/atom
ρ = 7.85 g cm⁻³
Total magnetic moment = 18.1 μB per formula unit

No. 5
DFT (PBE-GGA) results for a relaxed structure of Ba2GeI.

Lattice parameters (Å, degrees): 4.588 5.175 13.329 101.19 90.00 90.00
Positions (direct):
Ba: 0.750 0.667 0.334
Ba: 0.250 0.333 0.666
Ba: 0.750 0.941 0.883
Ba: 0.250 0.059 0.117
Ge: 0.250 0.468 0.936
Ge: 0.750 0.532 0.064
I: 0.250 0.193 0.387
I: 0.750 0.807 0.613

Output
VASP energy = -27.45 eV for the cell shown
Energy above the lowest structure with this stoichiometry = 0.019 eV per atom
Raw formation energy = -928 meV/atom
ρ = 5.07 g cm⁻³
Total magnetic moment = 0.2 μB per formula unit

No. 6
DFT (PBE-GGA) results for a relaxed structure of Li4In2Pb.

Lattice parameters (Å, degrees): 5.002 5.491 6.383 115.48 90.00 90.00
Positions (direct):
Li: 0.500 0.631 0.262
Li: 0.000 0.761 0.522
Li: 0.500 0.369 0.738
Li: 0.000 0.239 0.478
In: 0.500 0.123 0.245
In: 0.500 0.877 0.755
Pb: 0.000 0.500 0.000

Output
VASP energy = -17.29 eV for the cell shown
Calculated formation energy = -64 meV per atom
Energy above the lowest structure with this stoichiometry = 0.187 eV per atom
ρ = 4.87 g cm⁻³
Total magnetic moment = 0.0 μB per formula unit

No. 7
DFT (PBE-GGA) results for a relaxed structure of CaRe3Os.

Lattice parameters (Å, degrees): 4.465 4.465 4.465 90.00 90.00 90.00
Positions (direct):
Re: 0.000 0.500 0.000
Re: 0.000 0.000 0.500
Re: 0.500 0.000 0.000
Ca: 0.000 0.000 0.000
Os: 0.500 0.500 0.500

Output
VASP energy = -33.47 eV for the cell shown
Calculated formation energy = 3421 meV per atom
Energy above the lowest structure with this stoichiometry = 1.787 eV per atom
ρ = 14.72 g cm⁻³
Total magnetic moment = 0.0 μB per formula unit

No. 8
DFT (PBE-GGA) results for a relaxed structure of Cu2NiSnSb.

Lattice parameters (Å, degrees): 4.690 6.086 4.690 90.00 90.00 90.00
Positions (direct):
Sb: 0.000 0.000 0.000
Sn: 0.000 0.500 0.000
Cu: 0.000 0.000 0.500
Cu: 0.500 0.000 0.000
Ni: 0.500 0.500 0.500

Output
VASP energy = -17.04 eV for the cell shown
Raw formation energy = 1012 meV/atom
ρ = 5.29 g cm⁻³
Total magnetic moment = 0.8 μB per formula unit

No. 9
DFT (PBE-GGA) results for a relaxed structure of Th6AsOs3S2.

Lattice parameters (Å, degrees): 4.098 8.583 9.481 106.34 102.48 90.00
Positions (direct):
Th: 0.327 0.930 0.655
Th: 0.661 0.598 0.323
Th: 0.673 0.070 0.345
Th: 0.995 0.265 0.989
Th: 0.005 0.735 0.011
Th: 0.339 0.402 0.677
As: 0.500 0.000 0.000
Os: 0.500 0.500 0.000
Os: 0.832 0.168 0.665
Os: 0.168 0.832 0.335
S: 0.832 0.663 0.663
S: 0.168 0.337 0.337

Output
VASP energy = -102.66 eV for the cell shown
Raw formation energy = -963 meV/atom
ρ = 11.20 g cm⁻³
Total magnetic moment = 0.0 μB per formula unit

No. 10
DFT (PBE-GGA) results for a relaxed structure of La2AlCoSn.

Lattice parameters (Å, degrees): 5.236 5.236 4.725 90.00 90.00 90.00
Positions (direct):
Al: 0.000 0.000 0.500
Co: 0.000 0.000 0.000
Sn: 0.500 0.500 0.500
La: 0.000 0.500 0.000
La: 0.500 0.000 0.000

Output
VASP energy = -27.17 eV for the cell shown
Calculated formation energy = -492 meV per atom
ρ = 6.18 g cm⁻³
Total magnetic moment = 0.0 μB per formula unit

No. 11
DFT (PBE-GGA) results for a relaxed structure of NpSbSe2.

Lattice parameters (Å, degrees): 3.914 3.914 9.451 78.05 78.05 60.00
Positions (direct):
Np: 0.000 0.000 0.000
Sb: 0.500 0.500 0.500
Se: 0.103 0.103 0.691
Se: 0.897 0.897 0.309

Output
VASP energy = -23.64 eV for the cell shown
Raw formation energy = 98 meV/atom
ρ = 7.05 g cm⁻³
Total magnetic moment = 5.4 μB per formula unit

No. 12
DFT (PBE-GGA) results for a relaxed structure of HgAsS3.

Lattice parameters (Å, degrees): 4.781 4.781 4.781 90.00 90.00 90.00
Positions (direct):
S: 0.000 0.500 0.000
S: 0.000 0.000 0.500
S: 0.500 0.000 0.000
As: 0.000 0.000 0.000
Hg: 0.500 0.500 0.500

Output
VASP energy = -14.83 eV for the cell shown
Raw formation energy = 501 meV/atom
ρ = 5.65 g cm⁻³
Total magnetic moment = 0.0 μB per formula unit